# Pr3Sm

Pr3Sm after structural relaxation (PBE, the Alexandria database).

Structure (POSCAR):
```
Pr3Sm
1.0
0.000 4.147 4.147
4.147 0.000 4.147
4.147 4.147 0.000
Pr Sm
3 1
direct
0.000 0.000 0.000
0.250 0.250 0.250
0.750 0.750 0.750
0.500 0.500 0.500
```

Values from the calculation:
Relative energy among the computed polymorphs: 117.4 meV per atom
Raw total energy: -18.5 eV/cell
Space group: No. 225
Size of the total moment: 0.002 μB per atom
DOS at the Fermi energy: 10.84 states/eV/f.u.
Density: 6.7 g cm⁻³
E_form: 130 meV per atom


# Na2SrCa

Na2SrCa after structural relaxation (PBE, the Alexandria database).

Structure (POSCAR):
```
Na2SrCa
1.0
4.381 0.000 0.000
0.000 4.381 0.000
0.000 0.000 8.786
Na Sr Ca
2 1 1
direct
0.000 0.000 0.233
0.000 0.000 0.767
0.500 0.500 0.500
0.500 0.500 0.000
```

Values from the calculation:
Relative energy among the computed polymorphs: 4.2 meV per atom
Raw total energy: -6.1 eV/cell
Space group: No. 123
Size of the total moment: 0.000 μB per atom
DOS at the Fermi energy: 2.94 states/eV/f.u.
Density: 1.7 g cm⁻³
E_form: 52 meV per atom